VASP calculation (PBE) on a relaxed structure of InNiGe2Cl.

Unit cell a=5.2477 b=4.0751 c=5.2477 alpha=90.00 beta=90.00 gamma=90.00
Last column: nearest neighbours and their distance in Å.
Element x y z (fractional)
Ge: 0.0000 0.0000 0.5000  2 Cl 2.62
Ge: 0.5000 0.0000 0.0000  2 Cl 2.62
Ni: 0.0000 0.5000 0.0000  2 Cl 2.04
In: 0.5000 0.5000 0.5000  8 Ge 3.32, 4 Ni 3.71
Cl: 0.0000 0.0000 0.0000  2 Ni 2.04

Values from the calculation:
Space-group type   P4/mmm, No. 123
Total energy   -16.76 eV for the cell shown
Formation energy from raw total energies   54.79 kJ per mole of atoms

---

VASP calculation (PBE) on a relaxed structure of In2NiGeCl.

Unit cell a=5.1243 b=5.1243 c=4.4594 alpha=90.00 beta=90.00 gamma=90.00
Last column: nearest neighbours and their distance in Å.
Element x y z (fractional)
Ge: 0.0000 0.0000 0.5000  2 Ni 2.23
Ni: 0.0000 0.0000 0.0000  2 Ge 2.23
In: 0.0000 0.5000 0.0000  2 Ni 2.56
In: 0.5000 0.0000 0.0000  2 Ni 2.56
Cl: 0.5000 0.5000 0.5000  8 In 3.40, 4 Ge 3.62

Values from the calculation:
Space-group type   P4/mmm, No. 123
Total energy   -19.14 eV for the cell shown
Formation energy from raw total energies   -27.38 kJ per mole of atoms

---

VASP calculation (PBE) on a relaxed structure of InGeP2Cl.

Unit cell a=4.8090 b=4.8090 c=5.1542 alpha=90.00 beta=90.00 gamma=90.00
Last column: nearest neighbours and their distance in Å.
Element x y z (fractional)
Ge: 0.0000 0.0000 0.0000  4 P 2.40, 2 Cl 2.58
In: 0.5000 0.5000 0.5000  4 Cl 3.40, 8 P 3.52
P: 0.0000 0.5000 0.0000  2 Ge 2.40
P: 0.5000 0.0000 0.0000  2 Ge 2.40
Cl: 0.0000 0.0000 0.5000  2 Ge 2.58

Values from the calculation:
Space-group type   P4/mmm, No. 123
Relative energy among the computed polymorphs   0.0000 eV/atom
Total energy   -18.03 eV for the cell shown
Formation energy from raw total energies   38.43 kJ per mole of atoms

---

VASP calculation (PBE) on a relaxed structure of InGeP2Cl.

Unit cell a=5.2221 b=5.2221 c=5.2462 alpha=90.00 beta=90.00 gamma=90.00
Last column: nearest neighbours and their distance in Å.
Element x y z (fractional)
P: 0.5000 0.0000 0.0000  2 In 2.61
P: 0.0000 0.5000 0.0000  2 In 2.61
Ge: 0.5000 0.5000 0.5000  4 Cl 3.69, 8 P 3.70
In: 0.0000 0.0000 0.0000  4 P 2.61, 2 Cl 2.62
Cl: 0.0000 0.0000 0.5000  2 In 2.62

Values from the calculation:
Space-group type   P4/mmm, No. 123
Relative energy among the computed polymorphs   0.3757 eV/atom
Total energy   -16.15 eV for the cell shown
Formation energy from raw total energies   74.68 kJ per mole of atoms